No. 1
# CsBAs2Se PBE-GGA optimized geometry
data_CsBAs2Se
_chemical_formula_sum 'Cs1 B1 As2 Se1'
_symmetry_space_group_name_H-M 'P 4/m m m'
_symmetry_Int_Tables_number 123
_symmetry_space_group_name_Hall '-P 4 2'
_cell_length_a 6.0164
_cell_length_b 6.0164
_cell_length_c 6.0654
_cell_angle_alpha 90.00
_cell_angle_beta 90.00
_cell_angle_gamma 90.00
loop_
_atom_site_label
_atom_site_type_symbol
_atom_site_fract_x
_atom_site_fract_y
_atom_site_fract_z
_atom_site_occupancy
Cs1 Cs 0.0000 0.0000 0.0000 1
B1 B 0.5000 0.5000 0.5000 1
As1 As 0.0000 0.5000 0.0000 1
Se1 Se 0.0000 0.0000 0.5000 1
# total moment	2.7	μB per formula unit
# formation energy from raw total energies	229.4	kJ/mol of atoms
# Fermi-level density of states	5.38	states/eV/cell

No. 2
# CsB2As2Se6 PBE-GGA optimized geometry
data_CsB2As2Se6
_chemical_formula_sum 'Cs1 B2 As2 Se6'
_symmetry_space_group_name_H-M 'P -1'
_symmetry_Int_Tables_number 2
_symmetry_space_group_name_Hall '-P 1'
_cell_length_a 6.4753
_cell_length_b 7.9335
_cell_length_c 8.6139
_cell_angle_alpha 66.22
_cell_angle_beta 67.98
_cell_angle_gamma 65.98
loop_
_atom_site_label
_atom_site_type_symbol
_atom_site_fract_x
_atom_site_fract_y
_atom_site_fract_z
_atom_site_occupancy
Cs1 Cs 0.0000 0.0000 0.0000 1
B1 B 0.4648 0.1836 0.8869 1
As1 As 0.0362 0.3311 0.5962 1
Se1 Se 0.1823 0.4085 0.7788 1
Se2 Se 0.3690 0.5915 0.2212 1
Se3 Se 0.3808 0.0787 0.1602 1
# total moment	0.0	μB per formula unit
# formation energy from raw total energies	-16.1	kJ/mol of atoms
# Fermi-level density of states	3.08	states/eV/cell

No. 3
# CsTl2BAs PBE-GGA optimized geometry
data_CsTl2BAs
_chemical_formula_sum 'Cs1 Tl2 B1 As1'
_symmetry_space_group_name_H-M 'P 4/m m m'
_symmetry_Int_Tables_number 123
_symmetry_space_group_name_Hall '-P 4 2'
_cell_length_a 5.0083
_cell_length_b 5.0083
_cell_length_c 5.6381
_cell_angle_alpha 90.00
_cell_angle_beta 90.00
_cell_angle_gamma 90.00
loop_
_atom_site_label
_atom_site_type_symbol
_atom_site_fract_x
_atom_site_fract_y
_atom_site_fract_z
_atom_site_occupancy
Cs1 Cs 0.0000 0.0000 0.0000 1
Tl1 Tl 0.0000 0.5000 0.5000 1
B1 B 0.0000 0.0000 0.5000 1
As1 As 0.5000 0.5000 0.0000 1
# total moment	0.6	μB per formula unit
# Fermi-level density of states	4.19	states/eV/cell
# calculated formation energy	0.796	eV per atom

- The lowest Fermi-level density of states belongs to which entry?
  CsB2As2Se6

Copy entry 2 word for word.
# CsB2As2Se6 PBE-GGA optimized geometry
data_CsB2As2Se6
_chemical_formula_sum 'Cs1 B2 As2 Se6'
_symmetry_space_group_name_H-M 'P -1'
_symmetry_Int_Tables_number 2
_symmetry_space_group_name_Hall '-P 1'
_cell_length_a 6.4753
_cell_length_b 7.9335
_cell_length_c 8.6139
_cell_angle_alpha 66.22
_cell_angle_beta 67.98
_cell_angle_gamma 65.98
loop_
_atom_site_label
_atom_site_type_symbol
_atom_site_fract_x
_atom_site_fract_y
_atom_site_fract_z
_atom_site_occupancy
Cs1 Cs 0.0000 0.0000 0.0000 1
B1 B 0.4648 0.1836 0.8869 1
As1 As 0.0362 0.3311 0.5962 1
Se1 Se 0.1823 0.4085 0.7788 1
Se2 Se 0.3690 0.5915 0.2212 1
Se3 Se 0.3808 0.0787 0.1602 1
# total moment	0.0	μB per formula unit
# formation energy from raw total energies	-16.1	kJ/mol of atoms
# Fermi-level density of states	3.08	states/eV/cell

- Which value of Fermi-level density of states does entry 1 give?
  5.38 states/eV/cell